No. 1
# GGA-PBE TaCrCl3, optimized geometry
data_TaCrCl3
_chemical_formula_sum 'Ta1 Cr1 Cl3'
_symmetry_space_group_name_H-M 'P 1'
_symmetry_Int_Tables_number 1
_symmetry_space_group_name_Hall 'P 1'
_cell_length_a 4.8874
_cell_length_b 4.8874
_cell_length_c 4.8874
_cell_angle_alpha 90.00
_cell_angle_beta 90.00
_cell_angle_gamma 90.00
loop_
_atom_site_label
_atom_site_fract_x
_atom_site_fract_y
_atom_site_fract_z
Ta1 0.0000 0.0000 0.0000
Cr1 0.5000 0.5000 0.5000
Cl1 0.0000 0.0000 0.5000
Cl2 0.0000 0.5000 0.0000
Cl3 0.5000 0.0000 0.0000
# Energy ... -26.7 eV per cell
# Symmetry ... Pm-3m, No. 221
# ΔE to the lowest computed polymorph ... 0.00 kJ/mol of atoms


No. 2
# GGA-PBE Ta3CrCl, optimized geometry
data_Ta3CrCl
_chemical_formula_sum 'Ta3 Cr1 Cl1'
_symmetry_space_group_name_H-M 'P 1'
_symmetry_Int_Tables_number 1
_symmetry_space_group_name_Hall 'P 1'
_cell_length_a 4.5213
_cell_length_b 4.5213
_cell_length_c 4.5213
_cell_angle_alpha 90.00
_cell_angle_beta 90.00
_cell_angle_gamma 90.00
loop_
_atom_site_label
_atom_site_fract_x
_atom_site_fract_y
_atom_site_fract_z
Ta1 0.0000 0.0000 0.5000
Ta2 0.0000 0.5000 0.0000
Ta3 0.5000 0.0000 0.0000
Cr1 0.5000 0.5000 0.5000
Cl1 0.0000 0.0000 0.0000
# Energy ... -41.8 eV per cell
# Symmetry ... Pm-3m, No. 221
# ΔE to the lowest computed polymorph ... 0.00 kJ/mol of atoms


No. 3
# GGA-PBE TaCr3Cl, optimized geometry
data_TaCr3Cl
_chemical_formula_sum 'Ta1 Cr3 Cl1'
_symmetry_space_group_name_H-M 'P 1'
_symmetry_Int_Tables_number 1
_symmetry_space_group_name_Hall 'P 1'
_cell_length_a 4.8797
_cell_length_b 4.8797
_cell_length_c 4.8797
_cell_angle_alpha 90.00
_cell_angle_beta 90.00
_cell_angle_gamma 90.00
loop_
_atom_site_label
_atom_site_fract_x
_atom_site_fract_y
_atom_site_fract_z
Ta1 0.0000 0.0000 0.0000
Cr1 0.0000 0.0000 0.5000
Cr2 0.0000 0.5000 0.0000
Cr3 0.5000 0.0000 0.0000
Cl1 0.5000 0.5000 0.5000
# Energy ... -34.6 eV per cell
# Symmetry ... Pm-3m, No. 221
# ΔE to the lowest computed polymorph ... 76.23 kJ/mol of atoms


No. 4
# GGA-PBE TaCrCl3, optimized geometry
data_TaCrCl3
_chemical_formula_sum 'Ta1 Cr1 Cl3'
_symmetry_space_group_name_H-M 'P 1'
_symmetry_Int_Tables_number 1
_symmetry_space_group_name_Hall 'P 1'
_cell_length_a 4.8106
_cell_length_b 4.8106
_cell_length_c 4.8106
_cell_angle_alpha 90.00
_cell_angle_beta 90.00
_cell_angle_gamma 90.00
loop_
_atom_site_label
_atom_site_fract_x
_atom_site_fract_y
_atom_site_fract_z
Ta1 0.0000 0.0000 0.0000
Cr1 0.5000 0.5000 0.5000
Cl1 0.0000 0.5000 0.5000
Cl2 0.5000 0.0000 0.5000
Cl3 0.5000 0.5000 0.0000
# Energy ... -23.8 eV per cell
# Symmetry ... Pm-3m, No. 221
# ΔE to the lowest computed polymorph ... 55.80 kJ/mol of atoms


No. 5
# GGA-PBE Ta2CrCl8, optimized geometry
data_Ta2CrCl8
_chemical_formula_sum 'Ta2 Cr1 Cl8'
_symmetry_space_group_name_H-M 'P 1'
_symmetry_Int_Tables_number 1
_symmetry_space_group_name_Hall 'P 1'
_cell_length_a 8.0052
_cell_length_b 8.0052
_cell_length_c 6.0990
_cell_angle_alpha 90.04
_cell_angle_beta 90.04
_cell_angle_gamma 80.22
loop_
_atom_site_label
_atom_site_fract_x
_atom_site_fract_y
_atom_site_fract_z
Ta1 0.1630 0.1630 0.1821
Ta2 0.8370 0.8370 0.8179
Cr1 0.0000 0.0000 0.5000
Cl1 0.0988 0.6643 0.7904
Cl2 0.1308 0.1308 0.7906
Cl3 0.3286 0.3286 0.3450
Cl4 0.3357 0.9012 0.2096
Cl5 0.6643 0.0988 0.7904
Cl6 0.6714 0.6714 0.6550
Cl7 0.8692 0.8692 0.2094
Cl8 0.9012 0.3357 0.2096
# Energy ... -57.6 eV per cell
# Symmetry ... C2/m, No. 12


No. 6
# GGA-PBE Tb8CrTe13Cl, optimized geometry
data_Tb8CrTe13Cl
_chemical_formula_sum 'Tb16 Cr2 Te26 Cl2'
_symmetry_space_group_name_H-M 'P 1'
_symmetry_Int_Tables_number 1
_symmetry_space_group_name_Hall 'P 1'
_cell_length_a 13.4559
_cell_length_b 13.4559
_cell_length_c 23.8311
_cell_angle_alpha 90.00
_cell_angle_beta 90.00
_cell_angle_gamma 162.05
loop_
_atom_site_label
_atom_site_fract_x
_atom_site_fract_y
_atom_site_fract_z
Tb1 0.0176 0.9824 0.5000
Tb2 0.0522 0.9478 0.1659
Tb3 0.1072 0.8928 0.3377
Tb4 0.1478 0.8522 0.0047
Tb5 0.2752 0.7248 0.3172
Tb6 0.3067 0.6933 0.9908
Tb7 0.3680 0.6320 0.1572
Tb8 0.4402 0.5598 0.3247
Tb9 0.5598 0.4402 0.8247
Tb10 0.6320 0.3680 0.6572
Tb11 0.6933 0.3067 0.4908
Tb12 0.7248 0.2752 0.8172
Tb13 0.8522 0.1478 0.5047
Tb14 0.8928 0.1072 0.8377
Tb15 0.9478 0.0522 0.6659
Tb16 0.9824 0.0176 0.0000
Cr1 0.2913 0.7087 0.6635
Cr2 0.7087 0.2913 0.1635
Te1 0.0621 0.9379 0.7222
Te2 0.1301 0.8699 0.5590
Te3 0.1439 0.8561 0.8639
Te4 0.1736 0.8264 0.2272
Te5 0.2024 0.7976 0.7200
Te6 0.2433 0.7567 0.0992
Te7 0.2746 0.7254 0.4567
Te8 0.3044 0.6956 0.8581
Te9 0.3773 0.6227 0.6028
Te10 0.4140 0.5860 0.9373
Te11 0.4338 0.5662 0.4622
Te12 0.4499 0.5501 0.7632
Te13 0.4814 0.5186 0.1008
Te14 0.5186 0.4814 0.6008
Te15 0.5501 0.4499 0.2632
Te16 0.5662 0.4338 0.9622
Te17 0.5860 0.4140 0.4373
Te18 0.6227 0.3773 0.1028
Te19 0.6956 0.3044 0.3581
Te20 0.7254 0.2746 0.9567
Te21 0.7567 0.2433 0.5992
Te22 0.7976 0.2024 0.2200
Te23 0.8264 0.1736 0.7272
Te24 0.8561 0.1439 0.3639
Te25 0.8699 0.1301 0.0590
Te26 0.9379 0.0621 0.2222
Cl1 0.0009 0.9991 0.8680
Cl2 0.9991 0.0009 0.3680
# Energy ... -239.5 eV per cell
# Symmetry ... Cmc2_1, No. 36


Among the records above, which one has the lowest energy?
Tb8CrTe13Cl


Which value of energy does entry 3 give?
-34.6 eV per cell


What is the formula in the second record?
Ta3CrCl


Repeat the fifth record exactly.
# GGA-PBE Ta2CrCl8, optimized geometry
data_Ta2CrCl8
_chemical_formula_sum 'Ta2 Cr1 Cl8'
_symmetry_space_group_name_H-M 'P 1'
_symmetry_Int_Tables_number 1
_symmetry_space_group_name_Hall 'P 1'
_cell_length_a 8.0052
_cell_length_b 8.0052
_cell_length_c 6.0990
_cell_angle_alpha 90.04
_cell_angle_beta 90.04
_cell_angle_gamma 80.22
loop_
_atom_site_label
_atom_site_fract_x
_atom_site_fract_y
_atom_site_fract_z
Ta1 0.1630 0.1630 0.1821
Ta2 0.8370 0.8370 0.8179
Cr1 0.0000 0.0000 0.5000
Cl1 0.0988 0.6643 0.7904
Cl2 0.1308 0.1308 0.7906
Cl3 0.3286 0.3286 0.3450
Cl4 0.3357 0.9012 0.2096
Cl5 0.6643 0.0988 0.7904
Cl6 0.6714 0.6714 0.6550
Cl7 0.8692 0.8692 0.2094
Cl8 0.9012 0.3357 0.2096
# Energy ... -57.6 eV per cell
# Symmetry ... C2/m, No. 12